First-principles (PBE-GGA) data for crystalline Rb3ZrNp3Te8 at its relaxed geometry, as listed in the Alexandria database.

```
data_Rb3ZrNp3Te8
_cell_length_a 10.165
_cell_length_b 10.165
_cell_length_c 10.165
_cell_angle_alpha 51.76
_cell_angle_beta 51.76
_cell_angle_gamma 51.76
_space_group_name_H-M_alt 'P 1'
_space_group_IT_number 1
loop_
_space_group_symop_operation_xyz
'x,y,z'
loop_
_atom_site_label
_atom_site_type_symbol
_atom_site_fract_x
_atom_site_fract_y
_atom_site_fract_z
Rb1 Rb 0.000 0.500 0.500
Rb2 Rb 0.500 0.000 0.500
Rb3 Rb 0.500 0.500 0.000
Zr1 Zr 0.500 0.500 0.500
Np1 Np 0.000 0.000 0.500
Np2 Np 0.000 0.500 0.000
Np3 Np 0.500 0.000 0.000
Te1 Te 0.234 0.234 0.234
Te2 Te 0.245 0.724 0.724
Te3 Te 0.276 0.276 0.755
Te4 Te 0.276 0.755 0.276
Te5 Te 0.724 0.245 0.724
Te6 Te 0.724 0.724 0.245
Te7 Te 0.755 0.276 0.276
Te8 Te 0.766 0.766 0.766
```

Calculated values
uncorrected formation energy	-13.11	eV per formula unit
E_tot	-5.90	eV per atom
crystal system	trigonal

---

First-principles (PBE-GGA) data for crystalline Rb3Zr2NpTe6 at its relaxed geometry, as listed in the Alexandria database.

```
data_Rb3Zr2NpTe6
_cell_length_a 7.534
_cell_length_b 7.534
_cell_length_c 9.012
_cell_angle_alpha 98.04
_cell_angle_beta 98.04
_cell_angle_gamma 120.19
_space_group_name_H-M_alt 'P 1'
_space_group_IT_number 1
loop_
_space_group_symop_operation_xyz
'x,y,z'
loop_
_atom_site_label
_atom_site_type_symbol
_atom_site_fract_x
_atom_site_fract_y
_atom_site_fract_z
Rb1 Rb 0.000 0.000 0.000
Rb2 Rb 0.338 0.662 0.000
Rb3 Rb 0.662 0.338 0.000
Zr1 Zr 0.169 0.831 0.500
Zr2 Zr 0.831 0.169 0.500
Np1 Np 0.500 0.500 0.500
Te1 Te 0.087 0.433 0.302
Te2 Te 0.217 0.217 0.695
Te3 Te 0.433 0.087 0.302
Te4 Te 0.567 0.913 0.698
Te5 Te 0.783 0.783 0.305
Te6 Te 0.913 0.567 0.698
```

Calculated values
uncorrected formation energy	-11.01	eV per formula unit
E_tot	-5.23	eV per atom
crystal system	monoclinic

---

First-principles (PBE-GGA) data for crystalline Rb4ZrNp3Te8 at its relaxed geometry, as listed in the Alexandria database.

```
data_Rb4ZrNp3Te8
_cell_length_a 9.044
_cell_length_b 9.044
_cell_length_c 10.013
_cell_angle_alpha 116.76
_cell_angle_beta 116.76
_cell_angle_gamma 60.03
_space_group_name_H-M_alt 'P 1'
_space_group_IT_number 1
loop_
_space_group_symop_operation_xyz
'x,y,z'
loop_
_atom_site_label
_atom_site_type_symbol
_atom_site_fract_x
_atom_site_fract_y
_atom_site_fract_z
Rb1 Rb 0.000 0.000 0.000
Rb2 Rb 0.000 0.500 0.000
Rb3 Rb 0.500 0.000 0.000
Rb4 Rb 0.500 0.500 0.000
Zr1 Zr 0.000 0.000 0.500
Np1 Np 0.000 0.500 0.500
Np2 Np 0.500 0.000 0.500
Np3 Np 0.500 0.500 0.500
Te1 Te 0.224 0.748 0.697
Te2 Te 0.225 0.225 0.697
Te3 Te 0.252 0.776 0.303
Te4 Te 0.264 0.264 0.296
Te5 Te 0.736 0.736 0.704
Te6 Te 0.748 0.224 0.697
Te7 Te 0.775 0.775 0.303
Te8 Te 0.776 0.252 0.303
```

Calculated values
uncorrected formation energy	-14.06	eV per formula unit
E_tot	-5.65	eV per atom
crystal system	monoclinic

---

First-principles (PBE-GGA) data for crystalline Rb3Zr3NpTe8 at its relaxed geometry, as listed in the Alexandria database.

```
data_Rb3Zr3NpTe8
_cell_length_a 10.072
_cell_length_b 10.072
_cell_length_c 10.072
_cell_angle_alpha 49.41
_cell_angle_beta 49.41
_cell_angle_gamma 49.41
_space_group_name_H-M_alt 'P 1'
_space_group_IT_number 1
loop_
_space_group_symop_operation_xyz
'x,y,z'
loop_
_atom_site_label
_atom_site_type_symbol
_atom_site_fract_x
_atom_site_fract_y
_atom_site_fract_z
Rb1 Rb 0.000 0.500 0.500
Rb2 Rb 0.500 0.000 0.500
Rb3 Rb 0.500 0.500 0.000
Zr1 Zr 0.000 0.000 0.500
Zr2 Zr 0.000 0.500 0.000
Zr3 Zr 0.500 0.000 0.000
Np1 Np 0.500 0.500 0.500
Te1 Te 0.216 0.741 0.741
Te2 Te 0.232 0.232 0.232
Te3 Te 0.259 0.259 0.784
Te4 Te 0.259 0.784 0.259
Te5 Te 0.741 0.216 0.741
Te6 Te 0.741 0.741 0.216
Te7 Te 0.768 0.768 0.768
Te8 Te 0.784 0.259 0.259
```

Calculated values
uncorrected formation energy	-13.94	eV per formula unit
E_tot	-5.37	eV per atom
crystal system	trigonal

---

First-principles (PBE-GGA) data for crystalline Rb2ZrNpTe4 at its relaxed geometry, as listed in the Alexandria database.

```
data_Rb2ZrNpTe4
_cell_length_a 7.601
_cell_length_b 4.402
_cell_length_c 9.007
_cell_angle_alpha 90.00
_cell_angle_beta 106.35
_cell_angle_gamma 90.00
_space_group_name_H-M_alt 'P 1'
_space_group_IT_number 1
loop_
_space_group_symop_operation_xyz
'x,y,z'
loop_
_atom_site_label
_atom_site_type_symbol
_atom_site_fract_x
_atom_site_fract_y
_atom_site_fract_z
Rb1 Rb 0.000 0.000 0.000
Rb2 Rb 0.500 0.500 0.000
Zr1 Zr 0.000 0.500 0.500
Np1 Np 0.500 0.000 0.500
Te1 Te 0.219 0.000 0.695
Te2 Te 0.253 0.500 0.299
Te3 Te 0.747 0.500 0.701
Te4 Te 0.781 0.000 0.305
```

Calculated values
uncorrected formation energy	-7.25	eV per formula unit
E_tot	-5.41	eV per atom
crystal system	monoclinic

---

First-principles (PBE-GGA) data for crystalline NpRe6 at its relaxed geometry, as listed in the Alexandria database.

```
data_NpRe6
_cell_length_a 5.974
_cell_length_b 5.974
_cell_length_c 5.974
_cell_angle_alpha 109.47
_cell_angle_beta 109.47
_cell_angle_gamma 109.47
_space_group_name_H-M_alt 'P 1'
_space_group_IT_number 1
loop_
_space_group_symop_operation_xyz
'x,y,z'
loop_
_atom_site_label
_atom_site_type_symbol
_atom_site_fract_x
_atom_site_fract_y
_atom_site_fract_z
Np1 Np 0.000 0.000 0.000
Re1 Re 0.250 0.500 0.750
Re2 Re 0.250 0.750 0.500
Re3 Re 0.500 0.250 0.750
Re4 Re 0.500 0.750 0.250
Re5 Re 0.750 0.250 0.500
Re6 Re 0.750 0.500 0.250
```

Calculated values
E_tot	-11.24	eV per atom
DFT formation energy	1.281	eV per atom
crystal system	cubic